Entry from Alexandria via LeMat-Bulk: a relaxed ZrBeFe2 crystal (GGA-PBE).

extended XYZ file:
```
4
Lattice="4.889 -0.393 -0.244 3.675 3.248 -0.244 3.675 1.225 3.018" Properties=species:S:1:pos:R:3 pbc="T T T"
Zr 3.060 1.020 0.633
Fe 5.477 1.826 1.133
Fe 0.642 0.214 0.133
Be 9.179 3.061 1.898
```

Crystal system: trigonal
DFT formation energy, kJ/mol of formula units: -8.8
Density of states at the Fermi level, states/eV/f.u.: 2.94
SG: No. 166
Total energy, eV/atom: -7.323